Material: La2TiTlSb
Method: DFT, GGA-PBE
State: relaxed

Values from the calculation:
Its formation energy (no corrections) is 0.109 eV per atom. The size of the total moment comes out at 0.0 μB/f.u.

Unit cell a=5.425 b=5.425 c=5.324 alpha=90.00 beta=90.00 gamma=90.00
Space group P4/mmm (No. 123)
Inequivalent atoms, fractional coordinates:
La  0.000  0.500  0.000 (multiplicity 2)
Ti  0.000  0.000  0.000 (multiplicity 1)
Tl  0.000  0.000  0.500 (multiplicity 1)
Sb  0.500  0.500  0.500 (multiplicity 1)